Record 1
Density functional theory data (GGA-PBE) for an optimized crystal structure of Nd4Ho15Sc.

Structure (extended XYZ):
```
20
Lattice="-2.568 3.719 -2.184 -4.129 -1.387 2.495 6.194 15.293 18.753" Properties=species:S:1:pos:R:3 pbc="T T T"
Nd 2.471 6.100 7.480
Nd 3.723 9.193 11.273
Nd 1.223 3.021 3.704
Nd 4.971 12.272 15.049
Ho 2.285 10.047 14.417
Ho -0.877 7.269 7.639
Ho -3.349 1.166 0.155
Ho -0.220 3.860 6.830
Ho 4.320 15.695 15.874
Ho 0.560 6.412 4.491
Ho -1.474 0.764 3.034
Ho 0.373 10.356 11.424
Ho -2.131 4.172 3.842
Ho 3.066 12.599 12.078
Ho 1.628 13.453 15.222
Ho 1.813 9.506 8.284
Ho 1.032 6.953 10.624
Ho -0.694 3.317 0.695
Ho 3.539 13.143 18.213
Sc 0.000 0.000 0.000
```

DFT total energy (eV per atom): -4.68
Space-group type: P4/mmm, No. 123
Magnetization (μB/atom): 0.00



Record 2
Density functional theory data (GGA-PBE) for an optimized crystal structure of PrCu3Ni2.

Structure (extended XYZ):
```
12
Lattice="5.766 0.000 0.000 2.883 4.993 0.000 2.883 1.664 6.371" Properties=species:S:1:pos:R:3 pbc="T T T"
Ni 2.883 0.000 0.000
Ni 0.000 0.000 0.000
Ni 1.441 2.497 0.000
Ni 4.324 2.497 0.000
Cu 5.766 1.860 1.951
Cu 7.037 2.595 4.420
Cu 4.494 2.595 4.420
Cu 5.766 4.797 4.420
Cu 7.037 4.063 1.951
Cu 4.494 4.063 1.951
Pr 2.883 1.664 2.117
Pr 8.648 4.993 4.254
```

DFT total energy (eV per atom): -4.64
Space-group type: R-3m, No. 166
Magnetization (μB/atom): 0.00



Record 3
Density functional theory data (GGA-PBE) for an optimized crystal structure of La3Sm2Tl3.

Structure (extended XYZ):
```
8
Lattice="3.879 0.000 -0.625 -0.212 5.466 -1.314 -0.024 0.039 12.207" Properties=species:S:1:pos:R:3 pbc="T T T"
La 1.361 2.085 8.453
La 2.282 3.420 1.815
La 1.939 0.000 -0.312
Tl 3.201 4.828 7.522
Tl -0.106 2.733 -0.657
Tl 0.442 0.677 2.746
Sm 2.787 1.298 4.947
Sm 0.857 4.208 5.320
```

DFT total energy (eV per atom): -4.22
Space-group type: Immm, No. 71
Offset from the most stable computed form (eV/f.u.): 0.00
Magnetization (μB/atom): 0.00



Record 4
Density functional theory data (GGA-PBE) for an optimized crystal structure of ZrTi3In.

Structure (extended XYZ):
```
10
Lattice="-0.700 -2.802 -0.304 4.426 -1.425 2.944 -6.643 0.546 10.252" Properties=species:S:1:pos:R:3 pbc="T T T"
Zr -0.567 -1.649 2.626
Zr -2.350 -2.033 10.265
In 2.019 -0.962 4.214
In -4.236 0.083 8.981
Ti -2.179 -1.779 7.536
Ti 1.863 -2.114 1.320
Ti 1.455 -2.608 6.814
Ti -0.350 -1.401 -0.152
Ti -4.373 -1.073 6.077
Ti -0.738 -1.902 5.355
```

DFT total energy (eV per atom): -6.76
Space-group type: Pmma, No. 51
Offset from the most stable computed form (eV/f.u.): 0.01
Magnetization (μB/atom): 0.00



Record 5
Density functional theory data (GGA-PBE) for an optimized crystal structure of PmGa2Re.

Structure (extended XYZ):
```
4
Lattice="-2.995 -0.294 0.719 -1.002 -2.547 1.442 0.244 3.081 8.932" Properties=species:S:1:pos:R:3 pbc="T T T"
Ga -2.756 0.330 8.625
Ga -0.997 -0.090 2.467
Pm -1.877 0.120 5.546
Re 0.000 0.000 0.000
```

DFT total energy (eV per atom): -5.67
Space-group type: R-3m, No. 166
Magnetization (μB/atom): 0.00



Record 6
Density functional theory data (GGA-PBE) for an optimized crystal structure of Pm6ErTm5.

Structure (extended XYZ):
```
12
Lattice="4.876 0.019 -1.422 -1.365 8.763 -4.564 0.103 -0.756 9.415" Properties=species:S:1:pos:R:3 pbc="T T T"
Pm 2.096 2.204 -1.854
Pm 4.018 0.244 4.710
Pm 1.415 6.578 -4.132
Pm -0.404 7.782 -1.281
Pm 3.336 4.621 2.430
Pm 0.278 3.404 0.999
Er 0.000 0.000 0.000
Tm 3.058 1.221 1.429
Tm 0.557 6.805 1.999
Tm 1.239 2.422 4.280
Tm -0.683 4.381 -2.282
Tm 2.376 5.603 -0.851
```

DFT total energy (eV per atom): -4.60
Space-group type: Immm, No. 71
Magnetization (μB/atom): 0.00



no.,E_form (eV per atom)
1,0.026
2,0.132
3,-0.303
4,0.237
5,0.147
6,0.019